No. 1
First-principles (PBE) data for a geometry-optimized LiCaGdRh structure, as listed in the Alexandria database.

- DFT formation energy: -329.5 meV/atom
- D(E_F): 0.766 states/eV per atom

a b c (Å): 4.990 4.990 4.990
angles (deg): 60.00 60.00 60.00
Fractional positions:
Li  0.000  0.000  0.000
Ca  0.750  0.750  0.750
Gd  0.250  0.250  0.250
Rh  0.500  0.500  0.500

No. 2
First-principles (PBE) data for a geometry-optimized ReAgHg2 structure, as listed in the Alexandria database.

- DFT formation energy: 741.1 meV/atom
- Energy above the most stable polymorph in this dataset: 177 meV per atom
- D(E_F): 0.535 states/eV per atom

a b c (Å): 5.017 5.017 5.542
angles (deg): 98.53 98.53 32.95
Fractional positions:
Re  0.000  0.000  0.000
Ag  0.500  0.500  0.500
Hg  0.253  0.253  0.759
Hg  0.747  0.747  0.241

No. 3
First-principles (PBE) data for a geometry-optimized Na2MgHg2 structure, as listed in the Alexandria database.

- DFT formation energy: -177.5 meV/atom
- Energy above the most stable polymorph in this dataset: 0 meV per atom
- D(E_F): 0.416 states/eV per atom

a b c (Å): 6.299 6.299 10.774
angles (deg): 113.19 113.19 45.16
Fractional positions:
Na  0.004  0.004  0.174
Na  0.180  0.180  0.593
Na  0.820  0.820  0.407
Na  0.996  0.996  0.826
Mg  0.279  0.279  0.127
Mg  0.721  0.721  0.873
Hg  0.361  0.361  0.908
Hg  0.481  0.481  0.628
Hg  0.519  0.519  0.372
Hg  0.639  0.639  0.092